A relaxed structure of Ho2Co3Os. Source: Alexandria, functional PBE-GGA.

Properties
D(E_F) = 1.1758 states/eV per atom
energy of formation = 0.2429 eV/atom
raw total energy = -0.493 Ry per atom

```
6
Lattice="-2.119 2.528 4.955 2.119 -2.528 4.955 2.119 2.528 -4.955" Properties=species:S:1:pos:R:3 pbc="T T T"
Ho 0.000 0.000 1.838
Ho 0.000 0.000 8.073
Co 2.119 0.000 0.000
Co 2.119 0.000 3.810
Co 0.000 2.528 1.146
Os 0.000 0.000 4.955
```



A relaxed structure of FeSnGeAs2. Source: Alexandria, functional PBE-GGA.

Properties
D(E_F) = 0.9887 states/eV per atom
energy of formation = 0.3902 eV/atom
raw total energy = -0.359 Ry per atom
energy above the lowest structure with this stoichiometry = 0 meV/atom

```
5
Lattice="4.499 0.000 0.000 0.000 4.499 0.000 0.000 0.000 5.212" Properties=species:S:1:pos:R:3 pbc="T T T"
Fe 0.000 0.000 0.000
Sn 0.000 0.000 2.606
Ge 2.250 2.250 2.606
As 0.000 2.250 0.000
As 2.250 0.000 0.000
```



A relaxed structure of Mg3C. Source: Alexandria, functional PBE-GGA.

Properties
D(E_F) = 0.3615 states/eV per atom
energy of formation = 0.4542 eV/atom
raw total energy = -0.224 Ry per atom
energy above the lowest structure with this stoichiometry = 119 meV/atom

```
8
Lattice="2.917 -7.707 0.000 2.917 7.707 0.000 0.000 0.000 3.132" Properties=species:S:1:pos:R:3 pbc="T T T"
Mg 1.505 1.441 2.349
Mg 2.917 3.966 2.349
Mg 1.505 -1.441 0.783
Mg 4.329 1.441 2.349
Mg 2.917 -3.966 0.783
Mg 4.329 -1.441 0.783
C 2.917 2.320 0.783
C 2.917 -2.320 2.349
```



A relaxed structure of RbCd2Ga2. Source: Alexandria, functional PBE-GGA.

Properties
D(E_F) = 0.3281 states/eV per atom
energy of formation = 0.0337 eV/atom
raw total energy = -0.128 Ry per atom
energy above the lowest structure with this stoichiometry = 80 meV/atom

```
10
Lattice="9.186 0.000 0.000 0.000 9.186 0.000 0.000 0.000 3.047" Properties=species:S:1:pos:R:3 pbc="T T T"
Rb 0.000 0.000 0.000
Rb 4.593 4.593 0.000
Cd 1.226 3.367 0.000
Cd 3.367 7.960 0.000
Cd 5.819 1.226 0.000
Cd 7.960 5.819 0.000
Ga 1.431 6.024 1.524
Ga 3.163 1.431 1.524
Ga 6.024 7.756 1.524
Ga 7.756 3.163 1.524
```



A relaxed structure of TbTe2PbO8. Source: Alexandria, functional PBE-GGA.

Properties
D(E_F) = 0.2844 states/eV per atom
raw total energy = -0.434 Ry per atom
ΔE_f (raw) = -1.379 eV/atom

```
12
Lattice="6.081 0.000 0.000 -3.040 5.266 0.000 0.000 0.000 7.260" Properties=species:S:1:pos:R:3 pbc="T T T"
Tb 0.000 0.000 0.000
Te 0.000 3.511 2.056
Te 3.040 1.755 5.204
Pb 0.000 0.000 3.630
O 0.000 1.680 1.527
O -1.585 4.426 1.527
O 1.455 0.840 5.733
O 0.000 3.511 3.886
O 3.040 1.755 3.375
O 1.585 4.426 1.527
O 4.626 0.840 5.733
O 3.040 3.586 5.733
```



A relaxed structure of Ac6PdPb5. Source: Alexandria, functional PBE-GGA.

Properties
D(E_F) = 0.9117 states/eV per atom
energy of formation = -0.4534 eV/atom
raw total energy = -0.330 Ry per atom

```
12
Lattice="4.278 -6.230 0.000 4.278 6.230 0.000 -2.122 0.000 8.519" Properties=species:S:1:pos:R:3 pbc="T T T"
Ac 0.317 2.006 6.125
Ac 1.357 0.000 1.829
Ac 0.317 -2.006 6.125
Ac 6.116 2.006 2.395
Ac 5.077 0.000 6.690
Ac 6.116 -2.006 2.395
Pd -1.061 0.000 4.260
Pb 4.278 3.540 0.000
Pb 3.217 1.598 4.260
Pb 4.278 0.000 0.000
Pb 3.217 -1.598 4.260
Pb 4.278 -3.540 0.000
```